DFT (GGA+U) results for a relaxed structure of TlFeNO2.

It has space group P4/mmm (No. 123), with a = 3.786 Å, b = 3.786 Å, c = 4.206 Å, α = 90.00°, β = 90.00° and γ = 90.00°. The distinct sites, in fractional coordinates, are Tl at (0.000, 0.000, 0.000), Fe at (0.500, 0.500, 0.500), N at (0.500, 0.500, 0.000) and O at (0.000, 0.500, 0.500).

Its total energy is -5.212 eV per atom. The value obtained for the density of states at the Fermi level is 3.30 states/eV per cell. Its magnetic moment is 3.95 μB per cell.